Record 1
The following is a PBE-GGA calculation of crystalline DyPu3 at its relaxed geometry, from Alexandria.

a b c (Å): 5.9108 5.9108 5.9108
angles (deg): 131.86 131.86 70.45
With the nearest neighbours (Å) after each atom.
Positions (direct):
Dy 0.0000 0.0000 0.0000  12 Pu 3.41
Pu 0.7500 0.2500 0.5000  8 Pu 3.41, 4 Dy 3.41
Pu 0.2500 0.7500 0.5000  8 Pu 3.41, 4 Dy 3.41
Pu 0.5000 0.5000 0.0000  4 Dy 3.41, 8 Pu 3.41

Summary:
- ΔE to the lowest computed polymorph: 2.8 meV/atom
- Raw total energy: -11.643 eV/atom
- Formation energy from the elements: 0.257 eV/atom
- Space group: I4/mmm
- Total magnetic moment: 17.8 μB per formula unit

Record 2
The following is a PBE-GGA calculation of crystalline DyPu5 at its relaxed geometry, from Alexandria.

a b c (Å): 5.3014 5.4621 5.8241
angles (deg): 117.96 90.00 90.00
With the nearest neighbours (Å) after each atom.
Positions (direct):
Dy 0.0000 0.0000 0.0000  10 Pu 3.22-3.44
Pu 0.0000 0.6652 0.3304  6 Pu 3.02-3.24, 2 Dy 3.22
Pu 0.0000 0.3348 0.6696  6 Pu 3.02-3.24, 2 Dy 3.22
Pu 0.5000 0.5000 0.0000  10 Pu 3.14-3.38
Pu 0.5000 0.1944 0.3888  5 Pu 2.96-3.14
Pu 0.5000 0.8056 0.6112  5 Pu 2.96-3.14

Summary:
- Raw total energy: -12.446 eV/atom
- Formation energy from the elements: 0.265 eV/atom
- Space group: Cmmm
- Total magnetic moment: 5.1 μB per formula unit

Record 3
The following is a PBE-GGA calculation of crystalline Dy3Pu at its relaxed geometry, from Alexandria.

a b c (Å): 5.5749 5.5749 5.5749
angles (deg): 60.00 60.00 60.00
With the nearest neighbours (Å) after each atom.
Positions (direct):
Dy 0.0000 0.0000 0.0000  8 Dy 3.41
Dy 0.7500 0.7500 0.7500  4 Pu 3.41, 4 Dy 3.41
Dy 0.2500 0.2500 0.2500  4 Pu 3.41, 4 Dy 3.41
Pu 0.5000 0.5000 0.5000  8 Dy 3.41

Summary:
- ΔE to the lowest computed polymorph: 109.2 meV/atom
- Raw total energy: -6.839 eV/atom
- Formation energy from the elements: 0.196 eV/atom
- Space group: Fm-3m
- Total magnetic moment: 7.2 μB per formula unit